Record 1
{
  "formula": "ErPaNiOs",
  "functional": "PBE",
  "state": "relaxed",
  "lattice": [[4.805, 0.000, 0.000], [2.403, 4.162, 0.000], [2.403, 1.387, 3.924]],
  "species": ["Ni", "Os", "Pa", "Er"],
  "frac_coords": [[0.250, 0.250, 0.250], [0.750, 0.750, 0.750], [0.000, 0.000, 0.000], [0.500, 0.500, 0.500]],
  "magnetic_moment_mub_per_cell": 0.00,
  "energy_ev_per_atom": -8.05
}

Record 2
{
  "formula": "PmErNiOs",
  "functional": "PBE",
  "state": "relaxed",
  "lattice": [[4.847, 0.000, 0.000], [2.424, 4.198, 0.000], [2.424, 1.399, 3.958]],
  "species": ["Er", "Pm", "Os", "Ni"],
  "frac_coords": [[0.500, 0.500, 0.500], [0.000, 0.000, 0.000], [0.750, 0.750, 0.750], [0.250, 0.250, 0.250]],
  "magnetic_moment_mub_per_cell": 0.00,
  "energy_ev_per_atom": -6.80
}

Record 3
{
  "formula": "Er2Si4Ni3Os",
  "functional": "PBE",
  "state": "relaxed",
  "lattice": [[3.958, 0.000, 0.000], [0.000, 3.958, 0.000], [0.000, 0.000, 9.661]],
  "species": ["Ni", "Ni", "Ni", "Er", "Er", "Si", "Si", "Si", "Si", "Os"],
  "frac_coords": [[0.000, 0.500, 0.125], [0.000, 0.000, 0.500], [0.500, 0.000, 0.875], [0.500, 0.000, 0.241], [0.000, 0.500, 0.759], [0.000, 0.000, 0.000], [0.500, 0.000, 0.637], [0.500, 0.500, 0.000], [0.000, 0.500, 0.363], [0.500, 0.500, 0.500]],
  "magnetic_moment_mub_per_cell": 0.00,
  "e_form_raw_ev_per_atom": -0.83,
  "energy_ev_per_atom": -6.77
}

Record 4
{
  "formula": "ErSi2NiOs",
  "functional": "PBE",
  "state": "relaxed",
  "lattice": [[-2.018, 2.628, -2.184], [1.827, -1.314, -3.269], [-3.541, -4.016, 2.044]],
  "species": ["Si", "Si", "Ni", "Os", "Er"],
  "frac_coords": [[0.622, 0.622, 0.244], [0.378, 0.378, 0.756], [0.250, 0.750, 0.500], [0.750, 0.250, 0.500], [0.000, 0.000, 0.000]],
  "magnetic_moment_mub_per_cell": 0.00,
  "e_form_raw_ev_per_atom": -0.78,
  "energy_ev_per_atom": -7.26
}

Record 5
{
  "formula": "ErTmNiOs",
  "functional": "PBE",
  "state": "relaxed",
  "lattice": [[-2.676, 3.857, 0.695], [-3.247, 1.248, -3.228], [-4.620, -0.462, 0.980]],
  "species": ["Tm", "Er", "Ni", "Os"],
  "frac_coords": [[0.500, 0.500, 0.500], [0.000, 0.000, 0.000], [0.250, 0.250, 0.250], [0.750, 0.750, 0.750]],
  "magnetic_moment_mub_per_cell": 0.00,
  "energy_ev_per_atom": -6.88
}

Record 6
{
  "formula": "YErNiOs",
  "functional": "PBE",
  "state": "relaxed",
  "lattice": [[-4.007, 2.338, -1.186], [-1.278, 0.380, -4.599], [-3.790, -2.424, -1.639]],
  "species": ["Ni", "Y", "Os", "Er"],
  "frac_coords": [[0.000, 0.000, 0.000], [0.750, 0.750, 0.750], [0.500, 0.500, 0.500], [0.250, 0.250, 0.250]],
  "magnetic_moment_mub_per_cell": 0.00,
  "energy_ev_per_atom": -7.31
}

Record 7
{
  "formula": "ErNi4P2",
  "functional": "PBE",
  "state": "relaxed",
  "lattice": [[-4.885, 4.886, -1.514], [-4.795, -5.103, -1.000], [-0.906, 0.170, 3.476]],
  "species": ["Er", "Er", "Ni", "Ni", "Ni", "Ni", "Ni", "Ni", "Ni", "Ni", "P", "P", "P", "P"],
  "frac_coords": [[0.000, 0.000, 0.500], [0.500, 0.500, 0.000], [0.416, 0.835, 0.500], [0.665, 0.916, 0.000], [0.335, 0.084, 0.000], [0.916, 0.665, 0.000], [0.084, 0.335, 0.000], [0.165, 0.584, 0.500], [0.835, 0.416, 0.500], [0.584, 0.165, 0.500], [0.780, 0.220, 0.000], [0.280, 0.280, 0.500], [0.220, 0.780, 0.000], [0.720, 0.720, 0.500]],
  "magnetic_moment_mub_per_cell": 0.00,
  "energy_ev_per_atom": -6.34
}

Record 8
{
  "formula": "Er2Ni5P3",
  "functional": "PBE",
  "state": "relaxed",
  "lattice": [[-3.118, 2.077, 0.222], [-2.798, -3.683, -4.822], [-2.672, -8.242, 7.846]],
  "species": ["Ni", "Ni", "Ni", "Ni", "Ni", "Ni", "Ni", "Ni", "Ni", "Ni", "Er", "Er", "Er", "Er", "P", "P", "P", "P", "P", "P"],
  "frac_coords": [[0.281, 0.012, 0.562], [0.569, 0.749, 0.137], [0.288, 0.633, 0.575], [0.719, 0.512, 0.438], [0.848, 0.822, 0.695], [0.712, 0.133, 0.425], [0.944, 0.004, 0.888], [0.152, 0.322, 0.305], [0.431, 0.249, 0.863], [0.056, 0.504, 0.112], [0.159, 0.820, 0.318], [0.451, 0.661, 0.902], [0.841, 0.320, 0.682], [0.549, 0.161, 0.098], [0.969, 0.351, 0.938], [0.031, 0.851, 0.062], [0.752, 0.825, 0.505], [0.622, 0.488, 0.245], [0.378, 0.988, 0.755], [0.248, 0.325, 0.495]],
  "magnetic_moment_mub_per_cell": 0.00,
  "energy_ev_per_atom": -6.31
}